# 1
Density functional theory data (PBE) for a relaxed Rb2MnAg2Br6 crystal.

a b c (Å): 8.1527 8.1527 8.1811
angles (deg): 60.12 60.12 60.00
Each line ends with the local moment (μB).
Element x y z (fractional)
1 Br 0.7857 0.2324 0.7495  0.03
2 Rb 0.2280 0.2280 0.3161  0.00
3 Br 0.2143 0.7676 0.2505  0.03
4 Br 0.2324 0.2324 0.7495  0.03
5 Br 0.2324 0.7857 0.7495  0.03
6 Ag 0.4242 0.4242 0.7273  0.02
7 Br 0.7676 0.2143 0.2505  0.03
8 Mn 0.0000 0.0000 0.0000  4.37
9 Br 0.7676 0.7676 0.2505  0.03
10 Rb 0.7720 0.7720 0.6839  0.00
11 Ag 0.5758 0.5758 0.2727  0.02

Magnetization in Bohr magnetons per cell: 5.00
Symmetry: No. 166
Raw formation energy in eV/atom: -0.927
Final energy in eV per atom: -3.3678
Calculated density in Mg/m³: 3.97

# 2
Density functional theory data (PBE) for a relaxed Pm3Y2ErBi6 crystal.

a b c (Å): 4.5276 9.0469 10.1140
angles (deg): 102.78 102.93 90.00
Element x y z (fractional)
1 Bi 0.0012 0.2445 0.0024
2 Y 0.1665 0.3332 0.3330
3 Bi 0.6645 0.0862 0.3289
4 Pm 0.1670 0.8334 0.3341
5 Bi 0.3319 0.4202 0.6639
6 Pm 0.8330 0.1666 0.6659
7 Bi 0.9988 0.7555 0.9976
8 Y 0.8335 0.6668 0.6670
9 Er 0.5000 0.0000 0.0000
10 Bi 0.3355 0.9138 0.6711
11 Bi 0.6681 0.5798 0.3361
12 Pm 0.5000 0.5000 0.0000

Magnetization in Bohr magnetons per cell: 0.00
Symmetry: No. 12
Final energy in eV per atom: -5.4895
Calculated density in Mg/m³: 8.59
E_form in eV/atom: -0.9038

# 3
Density functional theory data (PBE) for a relaxed SrTbS2 crystal.

a b c (Å): 4.0442 4.0442 7.1865
angles (deg): 73.74 73.74 59.99
Element x y z (fractional)
1 S 0.2564 0.2564 0.2305
2 Tb 0.0000 0.0000 0.0000
3 Sr 0.5000 0.5000 0.5000
4 S 0.7436 0.7436 0.7695

Magnetization in Bohr magnetons per cell: 0.00
Symmetry: No. 12
Offset from the most stable computed form in meV per atom: 0
Raw formation energy in eV/atom: -2.045
Final energy in eV per atom: -5.6863
Calculated density in Mg/m³: 5.36

# 4
Density functional theory data (PBE) for a relaxed Pm2NdCu3 crystal.

a b c (Å): 3.5645 3.5645 10.7819
angles (deg): 90.00 90.00 90.00
Element x y z (fractional)
1 Cu 0.0000 0.0000 0.3303
2 Pm 0.5000 0.5000 0.1659
3 Cu 0.0000 0.0000 0.6697
4 Pm 0.5000 0.5000 0.8341
5 Nd 0.5000 0.5000 0.5000
6 Cu 0.0000 0.0000 0.0000

Magnetization in Bohr magnetons per cell: 0.00
Symmetry: No. 123
Final energy in eV per atom: -4.5845
Calculated density in Mg/m³: 7.57
E_form in eV/atom: -0.1582